This record from Alexandria via LeMat-Bulk describes a geometry-optimized SrSn3Sb structure. The functional is PBE.

a b c (Å): 5.776 5.776 5.776
angles (deg): 90.00 90.00 90.00
Sites, in units of the cell vectors:
1 Sr 0.000 0.000 0.000
2 Sn 0.000 0.500 0.500
3 Sn 0.500 0.000 0.500
4 Sn 0.500 0.500 0.000
5 Sb 0.500 0.500 0.500

Its crystal system is cubic. The total magnetization comes out at 0.0 Bohr magnetons per cell. For the energy above the most stable polymorph in this dataset, the calculation gives 0 kJ/mol of formula units. For the formation energy from raw total energies, the calculation gives 0.215 eV per atom. Its symmetry is Pm-3m.